Tb2PrNd3S6: relaxed, PBE-GGA.

Results
crystal system	monoclinic
formation energy (no corrections)	-24.3	eV per formula unit
V	23.1	Å³ per atom
Fermi-level density of states	5.2	states/eV/f.u.

Geometry as CIF:
```
data_Tb2PrNd3S6
_cell_length_a 6.963
_cell_length_b 12.095
_cell_length_c 6.987
_cell_angle_alpha 90.00
_cell_angle_beta 109.45
_cell_angle_gamma 90.00
_space_group_name_H-M_alt 'C 1 2/m 1'
_space_group_IT_number 12
loop_
_space_group_symop_operation_xyz
'x,y,z'
'-x,-y,-z'
'-x,y,-z'
'x,-y,z'
'x+1/2,y+1/2,z'
'-x+1/2,-y+1/2,-z'
'-x+1/2,y+1/2,-z'
'x+1/2,-y+1/2,z'
loop_
_atom_site_label
_atom_site_fract_x
_atom_site_fract_y
_atom_site_fract_z
_atom_site_occupancy
Tb1 0.000 0.166 0.000 1
Pr1 0.000 0.500 0.000 1
Nd1 0.000 0.000 0.500 1
Nd2 0.000 0.338 0.500 1
S1 0.237 0.000 0.239 1
S2 0.247 0.172 0.757 1
```

=====

Tb7In4Sn: relaxed, PBE-GGA.

Results
crystal system	monoclinic
V	30.5	Å³ per atom
Fermi-level density of states	10.1	states/eV/f.u.

Geometry as CIF:
```
data_Tb7In4Sn
_cell_length_a 14.380
_cell_length_b 5.762
_cell_length_c 11.171
_cell_angle_alpha 90.00
_cell_angle_beta 127.65
_cell_angle_gamma 90.00
_space_group_name_H-M_alt 'C 1 2/m 1'
_space_group_IT_number 12
loop_
_space_group_symop_operation_xyz
'x,y,z'
'-x,-y,-z'
'-x,y,-z'
'x,-y,z'
'x+1/2,y+1/2,z'
'-x+1/2,-y+1/2,-z'
'-x+1/2,y+1/2,-z'
'x+1/2,-y+1/2,z'
loop_
_atom_site_label
_atom_site_fract_x
_atom_site_fract_y
_atom_site_fract_z
_atom_site_occupancy
Tb1 0.000 0.000 0.000 1
Tb2 0.069 0.500 0.321 1
Tb3 0.162 0.000 0.597 1
Tb4 0.215 0.500 0.871 1
In1 0.062 0.000 0.771 1
In2 0.204 0.000 0.343 1
Sn1 0.000 0.500 0.000 1
```

=====

The records above give, respectively, VASP energy values of -6.447 -4.154 eV/atom.